[1]
# SiAsBr

SiAsBr after structural relaxation (PBE, Alexandria via LeMat-Bulk).

```
data_SiAsBr
_cell_length_a 5.3989
_cell_length_b 5.6604
_cell_length_c 5.9973
_cell_angle_alpha 110.61
_cell_angle_beta 103.13
_cell_angle_gamma 108.55
_space_group_name_H-M_alt 'P 1'
_space_group_IT_number 1
loop_
_space_group_symop_operation_xyz
'x,y,z'
loop_
_atom_site_label
_atom_site_fract_x
_atom_site_fract_y
_atom_site_fract_z
Si1 0.0000 0.0000 0.0000
Si2 0.2789 0.3105 0.4872
As1 0.3678 0.1803 0.8399
As2 0.5398 0.8269 0.6449
Br1 0.0805 0.6478 0.0660
Br2 0.6952 0.3095 0.4142
```

Results
Formation energy from raw total energies ... -0.02 eV per atom
Total energy ... -0.2894 Ry per atom



[2]
# SiAsBr2

SiAsBr2 after structural relaxation (PBE, Alexandria via LeMat-Bulk).

```
data_SiAsBr2
_cell_length_a 3.7511
_cell_length_b 3.7511
_cell_length_c 8.2848
_cell_angle_alpha 90.00
_cell_angle_beta 90.00
_cell_angle_gamma 90.00
_space_group_name_H-M_alt 'P 1'
_space_group_IT_number 1
loop_
_space_group_symop_operation_xyz
'x,y,z'
loop_
_atom_site_label
_atom_site_fract_x
_atom_site_fract_y
_atom_site_fract_z
Si1 0.0000 0.0000 0.0000
As1 0.5000 0.5000 0.9550
Br1 0.0000 0.0000 0.2736
Br2 0.5000 0.5000 0.6701
```

Results
Formation energy from raw total energies ... -0.20 eV per atom
Total energy ... -0.2611 Ry per atom



[3]
# SiAsBr2

SiAsBr2 after structural relaxation (PBE, Alexandria via LeMat-Bulk).

```
data_SiAsBr2
_cell_length_a 3.8909
_cell_length_b 3.8909
_cell_length_c 8.9817
_cell_angle_alpha 90.00
_cell_angle_beta 90.00
_cell_angle_gamma 118.37
_space_group_name_H-M_alt 'P 1'
_space_group_IT_number 1
loop_
_space_group_symop_operation_xyz
'x,y,z'
loop_
_atom_site_label
_atom_site_fract_x
_atom_site_fract_y
_atom_site_fract_z
Si1 0.0000 0.0000 0.0000
As1 0.5000 0.5000 0.8485
Br1 0.0000 0.0000 0.6398
Br2 0.5000 0.5000 0.2057
```

Results
Formation energy from raw total energies ... 0.26 eV per atom
Total energy ... -0.2275 Ry per atom



[4]
# SiAsBr2

SiAsBr2 after structural relaxation (PBE, Alexandria via LeMat-Bulk).

```
data_SiAsBr2
_cell_length_a 9.7975
_cell_length_b 9.7975
_cell_length_c 9.7975
_cell_angle_alpha 19.78
_cell_angle_beta 19.78
_cell_angle_gamma 19.78
_space_group_name_H-M_alt 'P 1'
_space_group_IT_number 1
loop_
_space_group_symop_operation_xyz
'x,y,z'
loop_
_atom_site_label
_atom_site_fract_x
_atom_site_fract_y
_atom_site_fract_z
Si1 0.0000 0.0000 0.0000
As1 0.5000 0.5000 0.5000
Br1 0.0872 0.0872 0.0872
Br2 0.9128 0.9128 0.9128
```

Results
Formation energy from raw total energies ... 0.49 eV per atom
Total energy ... -0.2104 Ry per atom



[5]
# SiAsBr

SiAsBr after structural relaxation (PBE, Alexandria via LeMat-Bulk).

```
data_SiAsBr
_cell_length_a 8.6892
_cell_length_b 8.6892
_cell_length_c 3.7543
_cell_angle_alpha 91.67
_cell_angle_beta 91.67
_cell_angle_gamma 48.52
_space_group_name_H-M_alt 'P 1'
_space_group_IT_number 1
loop_
_space_group_symop_operation_xyz
'x,y,z'
loop_
_atom_site_label
_atom_site_fract_x
_atom_site_fract_y
_atom_site_fract_z
Si1 0.0739 0.0739 0.0104
Si2 0.9261 0.9261 0.9896
As1 0.7032 0.1341 0.4886
As2 0.8659 0.2968 0.5114
Br1 0.0671 0.5975 0.9767
Br2 0.4025 0.9329 0.0233
```

Results
Formation energy from raw total energies ... -0.24 eV per atom
Total energy ... -0.3056 Ry per atom



[6]
# SiAsBr2

SiAsBr2 after structural relaxation (PBE, Alexandria via LeMat-Bulk).

```
data_SiAsBr2
_cell_length_a 4.8132
_cell_length_b 3.5192
_cell_length_c 5.8971
_cell_angle_alpha 90.00
_cell_angle_beta 113.43
_cell_angle_gamma 90.00
_space_group_name_H-M_alt 'P 1'
_space_group_IT_number 1
loop_
_space_group_symop_operation_xyz
'x,y,z'
loop_
_atom_site_label
_atom_site_fract_x
_atom_site_fract_y
_atom_site_fract_z
Si1 0.0000 0.0000 0.0000
As1 0.5000 0.5000 0.5000
Br1 0.0000 0.0000 0.5000
Br2 0.5000 0.5000 0.0000
```

Results
Formation energy from raw total energies ... 0.51 eV per atom
Total energy ... -0.2089 Ry per atom



The lowest formation energy from raw total energies belongs to which entry?
number 5